The following is a DFT calculation (PBE) of an optimized crystal structure of Ga3FeCl.

## Properties
- calculated density (Mg/m³) = 4.89
- E_tot (eV/atom) = -3.97
- energy above the most stable polymorph in this dataset (meV per atom) = 0
- crystal system = cubic
- formation energy (no corrections) (eV per atom) = -0.09
- N(E_F) (states/eV/atom) = 0.96

a b c (Å): 4.6733 4.6733 4.6733
angles (deg): 90.00 90.00 90.00
With the nearest neighbours (Å) after each atom.
Positions (direct):
1 Cl 0.5000 0.5000 0.5000  12 Ga 3.30
2 Ga 0.0000 0.5000 0.0000  2 Fe 2.34
3 Ga 0.5000 0.0000 0.0000  2 Fe 2.34
4 Ga 0.0000 0.0000 0.5000  2 Fe 2.34
5 Fe 0.0000 0.0000 0.0000  6 Ga 2.34